The following is a GGA-PBE calculation of crystalline AlCdHg2 at its relaxed geometry, from Alexandria via LeMat-Bulk.

The total energy is -1.192 eV per atom. As for the density of states at the Fermi level: 0.320 states/eV per atom.

Cell: 3.2914 3.2914 10.1754 Å, 90.00 90.00 123.52°
Last column: nearest neighbours and their distance in Å.
Positions (direct):
Al  0.0000  0.0000  0.0000  4 Hg 2.88, 2 Al 3.11
Cd  0.0000  0.0000  0.5000  4 Hg 3.09, 6 Cd 3.11-3.29
Hg  0.5000  0.5000  0.2378  2 Al 2.88, 2 Cd 3.09, 2 Hg 3.11
Hg  0.5000  0.5000  0.7622  2 Al 2.88, 2 Cd 3.09, 2 Hg 3.11